Computed, not measured: a relaxed Mg2InReN4 crystal at the GGA-PBE level of DFT.

Structure (POSCAR):
```
Mg2InReN4
1.0
-2.601 -2.960 3.644
3.922 0.929 3.543
-2.629 4.351 -2.289
N Mg In Re
4 2 1 1
Direct
0.170 0.170 0.734 N
0.436 0.830 0.265 N
0.564 0.564 0.734 N
0.830 0.436 0.265 N
0.750 0.250 0.500 Mg
0.250 0.750 0.500 Mg
0.001 0.001 0.001 In
0.500 0.500 0.000 Re
```

DFT total energy   -6.75 eV/atom
Formation energy without anion corrections   -2.33 eV/f.u.
ρ   5.723 g/cm³
Magnetization   0.000 μB/f.u.
SG   Fmm2 (42)
Crystal system   orthorhombic



Computed, not measured: a relaxed Na2CdAg2F6 crystal at the GGA-PBE level of DFT.

Structure (POSCAR):
```
Na2CdAg2F6
1.0
-0.224 0.056 5.862
-2.942 -4.160 -2.909
5.805 -1.868 -0.902
Ag Na F Cd
2 2 6 1
Direct
0.181 0.819 0.000 Ag
0.819 0.181 0.000 Ag
0.340 0.660 0.500 Na
0.660 0.340 0.500 Na
0.597 0.935 0.291 F
0.403 0.065 0.709 F
0.231 0.231 0.280 F
0.769 0.769 0.720 F
0.935 0.597 0.291 F
0.065 0.403 0.709 F
0.000 0.000 0.500 Cd
```

DFT total energy   -3.79 eV/atom
Formation energy without anion corrections   -21.19 eV/f.u.
ρ   4.683 g/cm³
Magnetization   0.000 μB/f.u.
SG   C2/m (12)
Crystal system   monoclinic



Computed, not measured: a relaxed PmMnH5 crystal at the GGA-PBE level of DFT.

Structure (POSCAR):
```
PmMnH5
1.0
4.310 0.605 1.253
1.050 4.223 1.253
0.954 0.859 7.330
H Mn Pm
10 2 2
Direct
0.417 0.911 0.418 H
0.089 0.583 0.082 H
0.911 0.417 0.918 H
0.417 0.912 0.918 H
0.088 0.583 0.582 H
0.583 0.088 0.082 H
0.912 0.417 0.418 H
0.000 0.000 0.250 H
0.583 0.089 0.582 H
0.000 0.000 0.750 H
0.000 0.000 0.000 Mn
0.000 0.000 0.500 Mn
0.500 0.500 0.250 Pm
0.500 0.500 0.750 Pm
```

DFT total energy   -4.64 eV/atom
ρ   5.630 g/cm³
Magnetization   2.006 μB/f.u.
SG   Immm (71)
Crystal system   orthorhombic



Computed, not measured: a relaxed Tl8In3 crystal at the GGA-PBE level of DFT.

Structure (POSCAR):
```
Tl8In3
1.0
-2.395 -5.681 3.771
5.137 -4.186 -2.882
4.482 1.611 5.435
In Tl
3 8
Direct
0.000 0.500 0.500 In
0.500 0.000 0.500 In
0.500 0.500 0.000 In
0.375 0.375 0.375 Tl
0.227 0.820 0.228 Tl
0.820 0.228 0.227 Tl
0.228 0.227 0.820 Tl
0.180 0.772 0.773 Tl
0.772 0.773 0.180 Tl
0.625 0.625 0.625 Tl
0.773 0.180 0.772 Tl
```

DFT total energy   -2.35 eV/atom
Energy relative to the lowest polymorph listed for this composition   0 meV/atom
ρ   8.711 g/cm³
Magnetization   0.000 μB/f.u.
SG   R-3m (166)
Energy of formation from the pure elements   0.1206 eV per atom
Crystal system   trigonal



Computed, not measured: a relaxed KBaFe2 crystal at the GGA-PBE level of DFT.

Structure (POSCAR):
```
KBaFe2
1.0
1.166 2.479 4.822
-3.479 -0.503 4.289
1.449 -3.044 4.403
Ba K Fe
1 1 2
Direct
0.500 0.500 0.500 Ba
0.000 0.000 0.000 K
0.750 0.750 0.750 Fe
0.250 0.250 0.250 Fe
```

DFT total energy   -3.78 eV/atom
Energy relative to the lowest polymorph listed for this composition   569 meV/atom
ρ   3.967 g/cm³
Magnetization   5.421 μB/f.u.
SG   Fm-3m (225)
Energy of formation from the pure elements   1.2089 eV per atom
Crystal system   cubic



Computed, not measured: a relaxed Lu2FeSn crystal at the GGA-PBE level of DFT.

Structure (POSCAR):
```
Lu2FeSn
1.0
-1.867 2.647 -0.599
-1.395 -1.560 -2.544
-5.545 -2.832 4.776
Lu Fe Sn
2 1 1
Direct
0.000 0.000 0.799 Lu
0.000 0.000 0.201 Lu
0.500 0.500 0.000 Fe
0.500 0.500 0.500 Sn
```

DFT total energy   -5.68 eV/atom
ρ   10.230 g/cm³
Magnetization   0.000 μB/f.u.
SG   P4/mmm (123)
Energy of formation from the pure elements   -0.2986 eV per atom
Crystal system   tetragonal